DFT (PBE) results for an optimized crystal structure of TlSnPb2. Values from VASP.

Structure (Quantum ESPRESSO input):
```
&SYSTEM
  ibrav = 0, nat = 4, ntyp = 3
/
ATOMIC_SPECIES
Tl 204.38 Tl.upf
Sn 118.71 Sn.upf
Pb 207.20 Pb.upf
CELL_PARAMETERS angstrom
2.298 1.327 7.470
-2.298 1.327 7.470
0.000 -2.653 7.470
ATOMIC_POSITIONS crystal
Tl 0.000 0.000 0.000
Sn 0.168 0.168 0.168
Pb 0.424 0.424 0.424
Pb 0.578 0.578 0.578
```

Computed properties:
E_form = 0.501 eV/f.u.
Density = 8.965 Mg/m³
Energy relative to the lowest polymorph listed for this composition = 124 meV/atom

DFT (PBE) results for an optimized crystal structure of Rb2MgF3. Values from VASP.

Structure (Quantum ESPRESSO input):
```
&SYSTEM
  ibrav = 0, nat = 6, ntyp = 3
/
ATOMIC_SPECIES
Rb 85.47 Rb.upf
Mg 24.30 Mg.upf
F 19.00 F.upf
CELL_PARAMETERS angstrom
-2.077 2.137 7.058
2.077 -2.137 7.058
2.077 2.137 -7.058
ATOMIC_POSITIONS crystal
Rb 0.150 0.150 0.000
Rb 0.850 0.850 0.000
Mg 0.500 0.500 0.000
F 0.357 0.357 0.000
F 0.500 0.000 0.500
F 0.643 0.643 0.000
```

Computed properties:
Formation energy from raw total energies = -2.52 eV/atom
Density = 3.343 Mg/m³